! KCa2W PBE relaxed; values from VASP
&SYSTEM
  ibrav = 0, nat = 12, ntyp = 3
/
ATOMIC_SPECIES
K 39.10 K.upf
Ca 40.08 Ca.upf
W 183.84 W.upf
CELL_PARAMETERS angstrom
3.311 0.000 0.000
-1.656 2.868 0.000
0.000 0.000 37.805
ATOMIC_POSITIONS crystal
K 0.000 0.000 0.000
K 0.333 0.667 0.667
K 0.667 0.333 0.333
Ca 0.000 0.000 0.233
Ca 0.000 0.000 0.476
Ca 0.333 0.667 0.143
Ca 0.333 0.667 0.899
Ca 0.667 0.333 0.566
Ca 0.667 0.333 0.810
W 0.000 0.000 0.745
W 0.333 0.667 0.412
W 0.667 0.333 0.078
! - E above lowest polymorph (eV/atom) = 0.2449
! - crystal system = trigonal
! - magnetic moment (Bohr magnetons per cell) = 0.0
! - calculated total energy (eV/atom) = -3.45
! - ΔE_f (eV/atom) = 1.067